Record 1
Below is a relaxed structure of SiRu2, with properties calculated at the PBEsol level.

Results
**Size of the total moment**: 0.00 μB per formula unit
**Formation energy without anion corrections**: -0.426 eV per atom
**Electronic total energy**: -27.37 eV/f.u.

Cell lengths 5.2267, 3.9910, 7.3813 Å; angles 90.00, 90.00, 90.00 degrees
Space group Pnma (No. 62)
Unique sites:
Si 0.1983 0.2500 0.0986 (multiplicity 4)
Ru 0.0156 0.2500 0.7864 (multiplicity 4)
Ru 0.1679 0.2500 0.4355 (multiplicity 4)



Record 2
Below is a relaxed structure of TlTc2Se2, with properties calculated at the PBEsol level.

Results
**Size of the total moment**: 0.00 μB per formula unit
**Formation energy without anion corrections**: 0.219 eV per atom
**Electronic total energy**: -31.77 eV/f.u.

Cell lengths 4.7812, 4.7812, 8.5268 Å; angles 90.00, 90.00, 90.00 degrees
Space group I4/mmm (No. 139)
Unique sites:
Tl 0.0000 0.0000 0.0000 (multiplicity 2)
Tc 0.0000 0.0000 0.3724 (multiplicity 4)
Se 0.0000 0.5000 0.2500 (multiplicity 4)



Record 3
Below is a relaxed structure of TbB3O6, with properties calculated at the PBEsol level.

Results
**Size of the total moment**: 0.00 μB per formula unit
**Formation energy without anion corrections**: -2.793 eV per atom
**Electronic total energy**: -85.49 eV/f.u.

Cell lengths 8.2711, 6.0460, 7.7578 Å; angles 90.00, 90.00, 90.00 degrees
Space group Pbcn (No. 60)
Unique sites:
Tb 0.0000 0.0093 0.2500 (multiplicity 4)
B 0.0000 0.4877 0.7500 (multiplicity 4)
B 0.1849 0.3808 0.5061 (multiplicity 8)
O 0.0811 0.3573 0.3660 (multiplicity 8)
O 0.1166 0.3372 0.6685 (multiplicity 8)
O 0.1595 0.0603 0.9934 (multiplicity 8)